Crystalline SbWO6 at its relaxed geometry. Source: Alexandria via LeMat-Bulk, functional PBE with a Hubbard U.

Cell lengths 5.4969, 5.4969, 5.4969 Å; angles 59.99, 59.99, 59.99 degrees
With the nearest neighbours (Å) after each atom.
Element x y z (fractional)
Sb  0.0000  0.0000  0.0000  6 O 1.97
W  0.5000  0.5000  0.5000  6 O 1.92
O  0.2491  0.2565  0.7478  1 W 1.92, 1 Sb 1.97
O  0.2522  0.7509  0.7435  1 W 1.92, 1 Sb 1.97
O  0.2565  0.7478  0.2491  1 W 1.92, 1 Sb 1.97
O  0.7435  0.2522  0.7509  1 W 1.92, 1 Sb 1.97
O  0.7478  0.2491  0.2565  1 W 1.92, 1 Sb 1.97
O  0.7509  0.7435  0.2522  1 W 1.92, 1 Sb 1.97

Summary:
Space-group type: R-3 (148)
Total DFT energy (no corrections), eV for the cell shown: -52.3